Record 1
The following is a PBE calculation of a geometry-optimized LuTe structure, from Alexandria via LeMat-Bulk.

```
LuTe
1.0
-3.452 1.405 1.810
-2.230 -2.815 -2.067
0.814 -4.152 4.775
Lu Te
2 2
Direct
0.250 0.250 0.821 Lu
0.750 0.750 0.179 Lu
0.750 0.750 0.703 Te
0.250 0.250 0.297 Te
```

## Properties
As for the total energy: -4.96 eV per atom. Its crystal system is tetragonal.


Record 2
The following is a PBE calculation of a geometry-optimized LaTlGa2Ir structure, from Alexandria via LeMat-Bulk.

```
LaTlGa2Ir
1.0
-0.292 -1.623 4.627
4.877 0.376 0.440
-0.555 5.132 1.765
Tl Ga Ir La
1 2 1 1
Direct
0.500 0.500 0.500 Tl
0.000 0.500 0.000 Ga
0.500 0.000 0.000 Ga
0.000 0.000 0.000 Ir
0.000 0.000 0.500 La
```

## Properties
As for the total energy: -4.85 eV per atom. For the energy relative to the elements, the calculation gives -413 meV/atom. Its crystal system is tetragonal.